No. 1
# Na3TeH | the Alexandria database | PBE-GGA | relaxed
data_Na3TeH
_cell_length_a 4.749
_cell_length_b 4.749
_cell_length_c 4.749
_cell_angle_alpha 90.00
_cell_angle_beta 90.00
_cell_angle_gamma 90.00
_space_group_name_H-M_alt 'P 1'
_space_group_IT_number 1
loop_
_space_group_symop_operation_xyz
'x,y,z'
loop_
_atom_site_label
_atom_site_fract_x
_atom_site_fract_y
_atom_site_fract_z
Na1 0.000 0.500 0.000
Na2 0.000 0.000 0.500
Na3 0.500 0.000 0.000
Te1 0.500 0.500 0.500
H1 0.000 0.000 0.000
# Calculated total energy in eV/atom: -2.73



No. 2
# Ca2SmHg8 | the Alexandria database | PBE-GGA | relaxed
data_Ca2SmHg8
_cell_length_a 5.171
_cell_length_b 7.834
_cell_length_c 8.518
_cell_angle_alpha 117.44
_cell_angle_beta 107.67
_cell_angle_gamma 90.00
_space_group_name_H-M_alt 'P 1'
_space_group_IT_number 1
loop_
_space_group_symop_operation_xyz
'x,y,z'
loop_
_atom_site_label
_atom_site_fract_x
_atom_site_fract_y
_atom_site_fract_z
Ca1 0.209 0.710 0.418
Ca2 0.791 0.290 0.582
Sm1 0.500 0.000 0.000
Hg1 0.638 0.833 0.276
Hg2 0.361 0.556 0.722
Hg3 0.152 0.152 0.303
Hg4 0.000 0.304 0.000
Hg5 0.848 0.848 0.697
Hg6 0.639 0.444 0.278
Hg7 0.362 0.167 0.724
Hg8 0.000 0.696 0.000
# Calculated formation energy in eV/atom: -0.350
# Calculated total energy in eV/atom: -1.36



No. 3
# InPtSe | the Alexandria database | PBE-GGA | relaxed
data_InPtSe
_cell_length_a 4.973
_cell_length_b 4.973
_cell_length_c 4.973
_cell_angle_alpha 135.41
_cell_angle_beta 135.38
_cell_angle_gamma 64.92
_space_group_name_H-M_alt 'P 1'
_space_group_IT_number 1
loop_
_space_group_symop_operation_xyz
'x,y,z'
loop_
_atom_site_label
_atom_site_fract_x
_atom_site_fract_y
_atom_site_fract_z
In1 0.997 0.997 0.000
Pt1 0.342 0.342 0.000
Se1 0.661 0.661 0.000
# Formation energy (no corrections) in kcal/mol of atoms: 0.1
# Calculated total energy in eV/atom: -4.08



Repeat the first record exactly.
# Na3TeH | the Alexandria database | PBE-GGA | relaxed
data_Na3TeH
_cell_length_a 4.749
_cell_length_b 4.749
_cell_length_c 4.749
_cell_angle_alpha 90.00
_cell_angle_beta 90.00
_cell_angle_gamma 90.00
_space_group_name_H-M_alt 'P 1'
_space_group_IT_number 1
loop_
_space_group_symop_operation_xyz
'x,y,z'
loop_
_atom_site_label
_atom_site_fract_x
_atom_site_fract_y
_atom_site_fract_z
Na1 0.000 0.500 0.000
Na2 0.000 0.000 0.500
Na3 0.500 0.000 0.000
Te1 0.500 0.500 0.500
H1 0.000 0.000 0.000
# Calculated total energy in eV/atom: -2.73



Q: Which of these has the highest calculated total energy?
A: Ca2SmHg8